YBiRu2O7, relaxed, DFT GGA-PBEsol; symmetry = Imma (74); formation energy from raw total energies = -1.69 eV/atom; E_tot = -7.89 eV/atom
1.0
-3.577 3.604 5.090
3.577 -3.604 5.090
3.577 3.604 -5.090
Y Bi Ru O
2 2 4 14
Cartesian
0.000 0.000 0.000
0.000 3.604 0.000
-1.789 1.802 2.545
1.789 1.802 2.545
1.789 1.802 -2.545
1.789 -1.802 2.545
3.577 0.000 0.000
0.000 0.000 5.090
2.110 -0.313 1.277
5.045 -0.313 1.277
3.577 -1.802 3.396
3.577 1.802 0.802
2.110 3.291 -1.277
1.467 -0.313 3.813
0.000 1.802 1.177
3.577 1.802 3.912
2.110 3.918 1.277
1.467 0.313 6.367
0.000 1.802 4.287
0.000 5.406 1.693
-1.467 3.918 3.813
1.467 3.918 3.813

LaZnPb2, relaxed, DFT GGA-PBEsol; symmetry = P4/mmm (123); E_tot = -4.11 eV/atom; energy of formation from the pure elements = -0.38 eV per atom
1.0
4.759 0.000 0.000
0.000 4.759 0.000
0.000 0.000 4.597
La Zn Pb
1 1 2
Cartesian
0.000 0.000 0.000
2.380 2.380 0.000
0.000 2.380 2.299
2.380 0.000 2.299

NiSbPPd2, relaxed, DFT GGA-PBEsol; symmetry = P4/mmm (123); formation energy from raw total energies = 1.24 eV/atom; E_tot = -4.44 eV/atom
1.0
4.821 0.000 0.000
0.000 4.821 0.000
0.000 0.000 4.937
Ni Sb P Pd
1 1 1 2
Cartesian
0.000 0.000 0.000
2.410 2.410 2.468
2.410 2.410 0.000
0.000 2.410 2.468
2.410 0.000 2.468

YCo2Au, relaxed, DFT GGA-PBEsol; symmetry = R-3m (166); E_tot = -6.01 eV/atom; energy above the most stable polymorph in this dataset = 638 meV per atom; energy of formation from the pure elements = 0.55 eV per atom
1.0
1.513 0.874 8.190
-1.513 0.874 8.190
0.000 -1.747 8.190
Y Co Au
1 2 1
Cartesian
0.000 0.000 0.000
0.000 0.000 6.056
0.000 0.000 18.514
0.000 0.000 12.285

Zr2CdP, relaxed, DFT GGA-PBEsol; symmetry = P4/mmm (123); E_tot = -6.71 eV/atom; energy above the most stable polymorph in this dataset = 362 meV per atom; energy of formation from the pure elements = -0.41 eV per atom
1.0
4.378 0.000 0.000
0.000 4.378 0.000
0.000 0.000 3.862
Zr Cd P
2 1 1
Cartesian
0.000 2.189 0.000
2.189 0.000 0.000
0.000 0.000 1.931
2.189 2.189 1.931

Ir2W, relaxed, DFT GGA-PBEsol; symmetry = I4_1/amd (141); E_tot = -11.42 eV/atom; energy of formation from the pure elements = -0.27 eV per atom
1.0
-1.937 1.937 11.575
1.937 -1.937 11.575
1.937 1.937 -11.575
Ir W
8 4
Cartesian
1.937 -0.969 6.753
1.937 0.969 -2.923
1.937 -0.969 10.609
0.000 0.969 2.865
1.937 0.969 8.710
0.000 2.906 0.965
0.000 0.969 14.497
0.000 2.906 4.822
1.937 0.969 0.970
1.937 0.969 4.817
0.000 0.969 6.757
0.000 0.969 10.605

Na2TlSb2, relaxed, DFT GGA-PBEsol; symmetry = P4/mbm (127); formation energy from raw total energies = -0.20 eV/atom; E_tot = -3.10 eV/atom
1.0
8.035 0.000 0.000
0.000 8.035 0.000
0.000 0.000 4.620
Na Tl Sb
4 2 4
Cartesian
1.382 2.636 0.000
2.636 6.654 0.000
5.399 1.382 0.000
6.654 5.399 0.000
0.000 0.000 2.310
4.018 4.018 2.310
0.996 5.014 2.310
3.022 0.996 2.310
5.014 7.040 2.310
7.040 3.022 2.310

TiCuNi2, relaxed, DFT GGA-PBEsol; symmetry = P4/mmm (123); E_tot = -6.54 eV/atom; energy of formation from the pure elements = -0.30 eV per atom
1.0
3.027 0.000 0.000
0.000 3.027 0.000
0.000 0.000 5.160
Ti Cu Ni
1 1 2
Cartesian
0.000 0.000 0.000
0.000 0.000 2.580
1.513 1.513 1.322
1.513 1.513 3.838